Computed, not measured: Tb2ZnIn2 after structural relaxation at the PBE-GGA level of DFT.

Space group = No. 38
Energy of formation from the pure elements = -2.14 eV per formula unit
Calculated density = 8.32 g/cm3
V = 24.5 A^3/atom
DOS(E_F) = 8.2 states/eV per cell

```
Tb2ZnIn2
1.0
3.530 0.000 0.000
0.000 4.643 0.000
0.000 0.000 14.934
Tb Zn In
4 2 4
Cartesian
0.000 0.000 0.000 Tb
0.000 0.000 3.483 Tb
0.000 2.321 7.467 Tb
0.000 2.321 10.950 Tb
1.765 0.000 6.237 Zn
1.765 2.321 13.704 Zn
1.765 0.000 9.143 In
1.765 0.000 12.246 In
1.765 2.321 1.676 In
1.765 2.321 4.779 In
```